This record from the Alexandria database describes crystalline Nd3Ho2In at its relaxed geometry. The functional is PBE.

a = 4.997 Å, b = 15.256 Å, c = 4.925 Å
α = 90.00°, β = 90.00°, γ = 90.00°
Space group Cmmm (No. 65)
Asymmetric unit:
Nd (0.000, 0.000, 0.000) [2 per cell]
Nd (0.000, 0.331, 0.000) [4 per cell]
Ho (0.000, 0.163, 0.500) [4 per cell]
In (0.000, 0.500, 0.500) [2 per cell]

## Properties
* ΔE to the lowest computed polymorph: 0 meV/atom

---

This record from the Alexandria database describes crystalline Nd9Ho4In11 at its relaxed geometry. The functional is PBE.

a = 18.112 Å, b = 21.496 Å, c = 3.535 Å
α = 90.00°, β = 90.00°, γ = 90.00°
Space group Cmmm (No. 65)
Asymmetric unit:
Nd (0.000, 0.000, 0.000) [2 per cell]
Nd (0.116, 0.242, 0.000) [8 per cell]
Nd (0.122, 0.413, 0.000) [8 per cell]
Ho (0.152, 0.085, 0.000) [8 per cell]
In (0.000, 0.135, 0.500) [4 per cell]
In (0.000, 0.333, 0.500) [4 per cell]
In (0.000, 0.500, 0.500) [2 per cell]
In (0.241, 0.500, 0.500) [4 per cell]
In (0.245, 0.324, 0.500) [8 per cell]

## Properties
* electronic total energy: -4.211 eV per atom